1.
A relaxed structure of ScInCu4. Source: Alexandria via LeMat-Bulk, functional PBEsol.

Values from the calculation:
Symmetry: F-43m (216)
ΔE_f (eV/atom): -0.29

abc: 4.9277 4.9277 4.9277
angles: 60.00 60.00 60.00
Sites, in units of the cell vectors:
Cu 0.8751 0.8751 0.3746
Cu 0.8751 0.8751 0.8751
Cu 0.8751 0.3746 0.8751
Cu 0.3746 0.8751 0.8751
Sc 0.2500 0.2500 0.2500
In 0.5000 0.5000 0.5000

***

2.
A relaxed structure of Cd2PbW. Source: Alexandria via LeMat-Bulk, functional PBEsol.

Values from the calculation:
Symmetry: I-4m2 (119)
ΔE_f (eV/atom): 0.73

abc: 4.1520 4.1520 5.4234
angles: 112.51 112.51 90.00
Sites, in units of the cell vectors:
W 0.2500 0.7500 0.5000
Cd 0.0000 0.0000 0.0000
Cd 0.7500 0.2500 0.5000
Pb 0.5000 0.5000 0.0000

***

3.
A relaxed structure of BeNi2Cl. Source: Alexandria via LeMat-Bulk, functional PBEsol.

Values from the calculation:
Symmetry: I4/mmm (139)
Polymorph energy (0 for the lowest one) (eV per formula unit): 1.36
Energy relative to the elements, uncorrected (eV/atom): 0.41

abc: 3.7022 4.1388 3.7022
angles: 63.43 90.00 116.57
Site moments in Bohr magnetons follow the coordinates.
Sites, in units of the cell vectors:
Ni 0.7500 0.5000 0.7500  0.08
Ni 0.2500 0.5000 0.2500  0.08
Be 0.5000 0.0000 0.5000  0.00
Cl 0.0000 0.0000 0.0000  0.01

***

4.
A relaxed structure of SrAlSiH. Source: Alexandria via LeMat-Bulk, functional PBEsol.

Values from the calculation:
Symmetry: P3m1 (156)
Uncorrected energy (Ry per atom): -0.3089

abc: 4.2048 4.2048 4.7844
angles: 90.00 90.00 120.00
Sites, in units of the cell vectors:
H 0.3333 0.6667 0.0968
Al 0.3333 0.6667 0.4658
Sr 0.0000 0.0000 0.0056
Si 0.6667 0.3333 0.5546

***

5.
A relaxed structure of Co2TcMo. Source: Alexandria via LeMat-Bulk, functional PBEsol.

Values from the calculation:
Symmetry: Cmmm (65)
ΔE_f (eV/atom): 0.00
Polymorph energy (0 for the lowest one) (eV per formula unit): 0.28

abc: 2.5807 4.4771 4.4771
angles: 109.86 90.00 90.00
Sites, in units of the cell vectors:
Mo 0.5000 0.0000 0.0000
Co 0.0000 0.5000 0.0000
Co 0.0000 0.0000 0.5000
Tc 0.5000 0.5000 0.5000

***

6.
A relaxed structure of BaCuRu2. Source: Alexandria via LeMat-Bulk, functional PBEsol.

Values from the calculation:
Symmetry: Pm (6)
ΔE_f (eV/atom): 0.62
Polymorph energy (0 for the lowest one) (eV per formula unit): 0.00

abc: 2.9193 3.9838 6.7647
angles: 90.00 100.76 90.00
Sites, in units of the cell vectors:
Cu 0.1188 0.5000 0.8143
Ru 0.1576 0.0000 0.0306
Ru 0.7537 0.5000 0.1448
Ba 0.4700 0.0000 0.5102

***

7.
A relaxed structure of K2TcIr. Source: Alexandria via LeMat-Bulk, functional PBEsol.

Values from the calculation:
Symmetry: P4/mmm (123)
ΔE_f (eV/atom): 1.17
Polymorph energy (0 for the lowest one) (eV per formula unit): 0.12

abc: 3.7305 3.7287 5.6004
angles: 90.00 90.00 90.00
Sites, in units of the cell vectors:
K 0.0000 0.0000 0.0000
K 0.5000 0.5000 0.0000
Tc 0.5000 0.0000 0.5000
Ir 0.0000 0.5000 0.5000

***

8.
A relaxed structure of BaSc2Co. Source: Alexandria via LeMat-Bulk, functional PBEsol.

Values from the calculation:
Symmetry: Cmmm (65)
ΔE_f (eV/atom): 0.63
Polymorph energy (0 for the lowest one) (eV per formula unit): 1.80

abc: 3.6056 4.9863 4.9863
angles: 102.68 90.00 90.00
Site moments in Bohr magnetons follow the coordinates.
Sites, in units of the cell vectors:
Sc 0.0000 0.5000 0.0000  -0.09
Sc 0.0000 0.0000 0.5000  -0.09
Co 0.5000 0.5000 0.5000  1.06
Ba 0.5000 0.0000 0.0000  -0.02

***

9.
A relaxed structure of KYFe2Br. Source: Alexandria via LeMat-Bulk, functional PBEsol.

Values from the calculation:
Symmetry: P4/mmm (123)
Energy relative to the elements, uncorrected (eV/atom): 0.98

abc: 4.5770 4.5770 5.3943
angles: 90.00 90.00 90.00
Site moments in Bohr magnetons follow the coordinates.
Sites, in units of the cell vectors:
Y 0.5000 0.5000 0.5000  -0.31
K 0.0000 0.0000 0.5000  -0.03
Fe 0.0000 0.5000 0.0000  2.36
Fe 0.5000 0.0000 0.0000  2.36
Br 0.0000 0.0000 0.0000  0.02

***

10.
A relaxed structure of Nb2ZnNiH. Source: Alexandria via LeMat-Bulk, functional PBEsol.

Values from the calculation:
Symmetry: P4/mmm (123)
Uncorrected energy (Ry per atom): -0.4921

abc: 3.7458 4.0479 4.0479
angles: 90.00 90.00 90.00
Sites, in units of the cell vectors:
Nb 0.0000 0.0000 0.5000
Nb 0.0000 0.5000 0.0000
H 0.0000 0.0000 0.0000
Ni 0.5000 0.0000 0.0000
Zn 0.5000 0.5000 0.5000

***

11.
A relaxed structure of Ba2HfCdGe. Source: Alexandria via LeMat-Bulk, functional PBEsol.

Values from the calculation:
Symmetry: P4/mmm (123)
ΔE_f (eV/atom): 0.44

abc: 5.0841 6.1713 6.1713
angles: 90.00 90.00 90.00
Sites, in units of the cell vectors:
Cd 0.5000 0.5000 0.5000
Hf 0.0000 0.0000 0.0000
Ba 0.0000 0.0000 0.5000
Ba 0.0000 0.5000 0.0000
Ge 0.5000 0.0000 0.0000

***

12.
A relaxed structure of YCr2Ir. Source: Alexandria via LeMat-Bulk, functional PBEsol.

Values from the calculation:
Symmetry: Cm (8)
ΔE_f (eV/atom): 0.22
Polymorph energy (0 for the lowest one) (eV per formula unit): 0.00

abc: 2.9340 4.7469 5.1076
angles: 107.10 90.00 108.00
Site moments in Bohr magnetons follow the coordinates.
Sites, in units of the cell vectors:
Ir 0.4753 0.9506 0.4325  0.07
Cr 0.7366 0.4732 0.2384  1.21
Cr 0.0378 0.0756 0.0809  -1.03
Y 0.2503 0.5006 0.7482  0.00

***

13.
A relaxed structure of LiIN2O. Source: Alexandria via LeMat-Bulk, functional PBEsol.

Values from the calculation:
Symmetry: P4/mmm (123)
Energy relative to the elements, uncorrected (eV/atom): 0.93

abc: 3.9411 3.9411 4.0481
angles: 90.00 90.00 90.00
Sites, in units of the cell vectors:
N 0.0000 0.5000 0.0000
N 0.5000 0.0000 0.0000
O 0.0000 0.0000 0.5000
Li 0.5000 0.5000 0.5000
I 0.0000 0.0000 0.0000

***

14.
A relaxed structure of CaZr2Te. Source: Alexandria via LeMat-Bulk, functional PBEsol.

Values from the calculation:
Symmetry: R-3m (166)
Energy relative to the elements, uncorrected (eV/atom): -0.07

abc: 3.4985 3.4985 10.0664
angles: 79.99 79.99 60.00
Site moments in Bohr magnetons follow the coordinates.
Sites, in units of the cell vectors:
Te 0.0000 0.0000 0.0000  0.00
Zr 0.7373 0.7373 0.7881  0.07
Zr 0.2627 0.2627 0.2119  0.07
Ca 0.5000 0.5000 0.5000  0.04

***

15.
A relaxed structure of MgSi2Ag. Source: Alexandria via LeMat-Bulk, functional PBEsol.

Values from the calculation:
Symmetry: P4mm (99)
Energy relative to the elements, uncorrected (eV/atom): 0.13

abc: 3.4401 3.4401 5.5813
angles: 90.00 90.00 90.00
Sites, in units of the cell vectors:
Si 0.5000 0.5000 0.2160
Si 0.0000 0.0000 0.0370
Mg 0.5000 0.5000 0.7431
Ag 0.0000 0.0000 0.5039

***

16.
A relaxed structure of SrTaRu3. Source: Alexandria via LeMat-Bulk, functional PBEsol.

Values from the calculation:
Symmetry: Pm-3m (221)
ΔE_f (eV/atom): 2.70

abc: 4.5867 4.5867 4.5867
angles: 90.00 90.00 90.00
Site moments in Bohr magnetons follow the coordinates.
Sites, in units of the cell vectors:
Ru 0.5000 0.0000 0.0000  0.12
Ru 0.0000 0.0000 0.5000  0.12
Ru 0.0000 0.5000 0.0000  0.12
Sr 0.0000 0.0000 0.0000  0.00
Ta 0.5000 0.5000 0.5000  -0.05

***

17.
A relaxed structure of Ba2MnNbBi. Source: Alexandria via LeMat-Bulk, functional PBEsol.

Values from the calculation:
Symmetry: P4/mmm (123)
ΔE_f (eV/atom): 0.52

abc: 4.5632 5.9590 5.9590
angles: 90.00 90.00 90.00
Site moments in Bohr magnetons follow the coordinates.
Sites, in units of the cell vectors:
Nb 0.5000 0.0000 0.0000  -1.48
Bi 0.5000 0.5000 0.5000  0.12
Ba 0.0000 0.5000 0.0000  -0.04
Ba 0.0000 0.0000 0.5000  -0.04
Mn 0.0000 0.0000 0.0000  1.95

***

18.
A relaxed structure of FeRuSe2. Source: Alexandria via LeMat-Bulk, functional PBEsol.

Values from the calculation:
Symmetry: Pm (6)
Polymorph energy (0 for the lowest one) (eV per formula unit): 0.00
Energy relative to the elements, uncorrected (eV/atom): -0.20

abc: 3.7614 3.7610 5.4045
angles: 90.09 90.00 90.00
Site moments in Bohr magnetons follow the coordinates.
Sites, in units of the cell vectors:
Se 0.5000 0.6245 0.3637  -0.02
Se 0.0000 0.1255 0.8863  -0.02
Fe 0.0000 0.6250 0.6250  0.38
Ru 0.5000 0.1250 0.6250  -0.05

***

19.
A relaxed structure of Mn2CuSnBi. Source: Alexandria via LeMat-Bulk, functional PBEsol.

Values from the calculation:
Symmetry: P4/mmm (123)
ΔE_f (eV/atom): 0.68

abc: 4.7319 4.7319 4.7148
angles: 90.00 90.00 90.00
Site moments in Bohr magnetons follow the coordinates.
Sites, in units of the cell vectors:
Cu 0.0000 0.0000 0.0000  0.10
Mn 0.0000 0.5000 0.0000  3.85
Mn 0.5000 0.0000 0.0000  3.85
Bi 0.5000 0.5000 0.5000  -0.15
Sn 0.0000 0.0000 0.5000  0.00

***

20.
A relaxed structure of Si2AsP. Source: Alexandria via LeMat-Bulk, functional PBEsol.

Values from the calculation:
Symmetry: P4/mmm (123)
Polymorph energy (0 for the lowest one) (eV per formula unit): 0.00
Energy relative to the elements, uncorrected (eV/atom): 0.39

abc: 3.0938 3.0938 6.3377
angles: 90.00 90.00 90.00
Sites, in units of the cell vectors:
As 0.5000 0.5000 0.0000
Si 0.0000 0.0000 0.7189
Si 0.0000 0.0000 0.2811
P 0.5000 0.5000 0.5000

***

21.
A relaxed structure of AgSnTeN2. Source: Alexandria via LeMat-Bulk, functional PBEsol.

Values from the calculation:
Symmetry: P4/mmm (123)
Energy relative to the elements, uncorrected (eV/atom): 1.23

abc: 4.0885 4.0885 6.1066
angles: 90.00 90.00 90.00
Site moments in Bohr magnetons follow the coordinates.
Sites, in units of the cell vectors:
N 0.0000 0.5000 0.0000  0.83
N 0.5000 0.0000 0.0000  0.83
Ag 0.5000 0.5000 0.5000  0.02
Sn 0.0000 0.0000 0.0000  -0.06
Te 0.0000 0.0000 0.5000  0.12

***

22.
A relaxed structure of ScGaPt2. Source: Alexandria via LeMat-Bulk, functional PBEsol.

Values from the calculation:
Symmetry: Fm-3m (225)
ΔE_f (eV/atom): -0.96

abc: 4.4701 4.4701 4.4701
angles: 60.00 60.00 60.00
Sites, in units of the cell vectors:
Ga 0.5000 0.5000 0.5000
Pt 0.7500 0.7500 0.7500
Pt 0.2500 0.2500 0.2500
Sc 0.0000 0.0000 0.0000

***

23.
A relaxed structure of Ag2AsPt. Source: Alexandria via LeMat-Bulk, functional PBEsol.

Values from the calculation:
Symmetry: P4/mmm (123)
ΔE_f (eV/atom): 0.19

abc: 2.8900 4.7884 4.7884
angles: 90.00 90.00 90.00
Sites, in units of the cell vectors:
As 0.5000 0.5000 0.5000
Pt 0.5000 0.0000 0.0000
Ag 0.0000 0.0000 0.5000
Ag 0.0000 0.5000 0.0000

***

24.
A relaxed structure of LiMgIn3. Source: Alexandria via LeMat-Bulk, functional PBEsol.

Values from the calculation:
Symmetry: Pm-3m (221)
ΔE_f (eV/atom): 0.15

abc: 4.9596 4.9596 4.9596
angles: 90.00 90.00 90.00
Sites, in units of the cell vectors:
In 0.0000 0.5000 0.0000
In 0.0000 0.0000 0.5000
In 0.5000 0.0000 0.0000
Li 0.0000 0.0000 0.0000
Mg 0.5000 0.5000 0.5000

***

25.
A relaxed structure of LaRhAu. Source: Alexandria via LeMat-Bulk, functional PBEsol.

Values from the calculation:
Symmetry: F-43m (216)
ΔE_f (eV/atom): 0.06

abc: 4.7011 4.7011 4.7011
angles: 60.00 60.00 60.00
Sites, in units of the cell vectors:
Au 0.5000 0.5000 0.5000
La 0.2500 0.2500 0.2500
Rh 0.0000 0.0000 0.0000

***

26.
A relaxed structure of BH2Pt. Source: Alexandria via LeMat-Bulk, functional PBEsol.

Values from the calculation:
Symmetry: I4_1/amd (141)
Uncorrected energy (Ry per atom): -0.3403

abc: 3.0844 3.0844 7.3682
angles: 102.08 102.08 90.00
Sites, in units of the cell vectors:
H 0.1250 0.8750 0.2500
H 0.1250 0.3750 0.2500
H 0.6250 0.8750 0.7500
H 0.1250 0.8750 0.7500
B 0.5000 0.5000 0.0000
B 0.7500 0.2500 0.5000
Pt 0.2500 0.7500 0.5000
Pt 0.0000 0.0000 0.0000

***

27.
A relaxed structure of SrPt4Au. Source: Alexandria via LeMat-Bulk, functional PBEsol.

Values from the calculation:
Symmetry: F-43m (216)
ΔE_f (eV/atom): -0.38

abc: 5.3411 5.3411 5.3411
angles: 60.00 60.00 60.00
Sites, in units of the cell vectors:
Au 0.0000 0.0000 0.0000
Pt 0.3746 0.3746 0.8761
Pt 0.8761 0.3746 0.3746
Pt 0.3746 0.8761 0.3746
Pt 0.3746 0.3746 0.3746
Sr 0.7500 0.7500 0.7500

***

28.
A relaxed structure of SbIrOs2. Source: Alexandria via LeMat-Bulk, functional PBEsol.

Values from the calculation:
Symmetry: Cmmm (65)
Energy relative to the elements, uncorrected (eV/atom): 0.98

abc: 2.7928 2.8107 9.5480
angles: 90.00 90.00 119.79
Sites, in units of the cell vectors:
Ir 0.5000 0.0000 0.0000
Sb 0.5000 0.0000 0.5000
Os 0.0000 0.0000 0.7656
Os 0.0000 0.0000 0.2344